CdRuAu2 | GGA-PBEsol | optimized geometry

Cell and atoms, written as extended XYZ:
```
4
Lattice="2.795 0.000 0.000 0.000 4.712 0.000 0.000 0.000 4.977" Properties=species:S:1:pos:R:3 pbc="T T T"
Cd 0.000 0.000 0.000
Ru 0.000 2.356 3.268
Au 1.397 0.000 2.549
Au 1.397 2.356 0.834
```

Summary:
**Symmetry**: Pmm2
**Calculated formation energy**: 237 meV per atom